# 1
## U4Tl3S8 (PBE-GGA)

Data for crystalline U4Tl3S8 at its relaxed geometry.

Cell: 7.993 8.267 8.267 Å, 90.14 118.42 118.42°
Element x y z (fractional)
U 0.500 0.000 0.000
U 0.000 0.500 0.000
U 0.000 0.000 0.000
U 0.000 0.000 0.500
Tl 0.500 0.500 0.000
Tl 0.500 0.000 0.500
Tl 0.500 0.500 0.500
S 0.449 0.203 0.203
S 0.000 0.768 0.232
S 0.967 0.223 0.223
S 0.500 0.770 0.230
S 0.500 0.230 0.770
S 0.033 0.777 0.777
S 0.000 0.232 0.768
S 0.551 0.797 0.797

Symmetry   No. 12
Crystal system   monoclinic
Formation energy without anion corrections   -0.92 eV/atom

# 2
## Tb8Th4Mg (PBE-GGA)

Data for crystalline Tb8Th4Mg at its relaxed geometry.

Cell: 7.331 7.331 9.965 Å, 90.00 111.58 120.00°
Element x y z (fractional)
Tb 0.561 0.781 0.342
Tb 0.439 0.219 0.658
Tb 0.504 0.252 0.300
Tb 0.952 0.204 0.700
Tb 0.496 0.748 0.700
Tb 0.952 0.748 0.700
Tb 0.048 0.252 0.300
Tb 0.048 0.796 0.300
Th 0.000 0.000 0.000
Th 0.000 0.500 0.000
Th 0.500 0.500 0.000
Th 0.500 0.000 0.000
Mg 0.000 0.500 0.500

Symmetry   No. 166
Crystal system   trigonal
ΔE_f   0.163 eV per atom

# 3
## CePm3Sm12 (PBE-GGA)

Data for crystalline CePm3Sm12 at its relaxed geometry.

Cell: 5.131 5.131 20.503 Å, 90.00 90.00 90.00°
Element x y z (fractional)
Ce 0.000 0.000 0.000
Pm 0.000 0.000 0.249
Pm 0.000 0.000 0.500
Pm 0.000 0.000 0.751
Sm 0.500 0.500 0.000
Sm 0.500 0.500 0.250
Sm 0.500 0.500 0.500
Sm 0.500 0.500 0.750
Sm 0.500 0.000 0.123
Sm 0.500 0.000 0.374
Sm 0.500 0.000 0.626
Sm 0.500 0.000 0.877
Sm 0.000 0.500 0.123
Sm 0.000 0.500 0.374
Sm 0.000 0.500 0.626
Sm 0.000 0.500 0.877

Symmetry   No. 123
Crystal system   tetragonal
ΔE_f   0.029 eV per atom

# 4
## ZnCo2Mo (PBE-GGA)

Data for crystalline ZnCo2Mo at its relaxed geometry.

Cell: 2.790 4.269 4.269 Å, 90.00 90.00 90.00°
Element x y z (fractional)
Co 0.000 0.000 0.000
Co 0.000 0.500 0.500
Mo 0.500 0.500 0.000
Zn 0.500 0.000 0.500

Symmetry   No. 123
Crystal system   tetragonal
ΔE_f   0.129 eV per atom

# 5
## Pr2GaHg (PBE-GGA)

Data for crystalline Pr2GaHg at its relaxed geometry.

Cell: 3.882 3.882 9.470 Å, 78.17 78.17 60.00°
Element x y z (fractional)
Pr 0.745 0.745 0.765
Pr 0.255 0.255 0.235
Hg 0.500 0.500 0.500
Ga 0.000 0.000 0.000

Symmetry   No. 166
Crystal system   trigonal
ΔE_f   -0.349 eV per atom

# 6
## LiGaSe2 (PBE-GGA)

Data for crystalline LiGaSe2 at its relaxed geometry.

Cell: 5.466 5.466 6.631 Å, 65.66 65.66 90.00°
Element x y z (fractional)
Ga 0.000 0.000 0.000
Ga 0.750 0.250 0.500
Se 0.770 0.770 0.460
Se 0.980 0.480 0.040
Se 0.230 0.230 0.540
Se 0.520 0.020 0.960
Li 0.500 0.500 0.000
Li 0.250 0.750 0.500

Symmetry   No. 141
Crystal system   tetragonal
Formation energy without anion corrections   -0.71 eV/atom

# 7
## SmThOs (PBE-GGA)

Data for crystalline SmThOs at its relaxed geometry.

Cell: 3.447 3.447 7.293 Å, 103.67 103.67 90.00°
Element x y z (fractional)
Os 0.670 0.670 0.340
Sm 0.037 0.037 0.073
Th 0.293 0.293 0.587

Symmetry   No. 107
Crystal system   tetragonal
ΔE_f   -0.077 eV per atom

# 8
## MoPdPb3 (PBE-GGA)

Data for crystalline MoPdPb3 at its relaxed geometry.

Cell: 5.323 5.323 5.323 Å, 90.00 90.00 90.00°
Element x y z (fractional)
Pb 0.000 0.500 0.000
Pb 0.000 0.000 0.500
Pb 0.500 0.000 0.000
Mo 0.500 0.500 0.500
Pd 0.000 0.000 0.000

Symmetry   No. 221
Crystal system   cubic
ΔE_f   0.888 eV per atom

# 9
## NaBPt2Au (PBE-GGA)

Data for crystalline NaBPt2Au at its relaxed geometry.

Cell: 4.188 4.188 4.579 Å, 90.00 90.00 90.00°
Element x y z (fractional)
Na 0.500 0.500 0.500
B 0.000 0.000 0.000
Au 0.000 0.000 0.500
Pt 0.000 0.500 0.000
Pt 0.500 0.000 0.000

Symmetry   No. 123
Crystal system   tetragonal
ΔE_f   -0.200 eV per atom

# 10
## La2SmThSb4 (PBE-GGA)

Data for crystalline La2SmThSb4 at its relaxed geometry.

Cell: 4.555 7.873 7.904 Å, 109.42 90.00 90.00°
Element x y z (fractional)
La 0.500 0.000 0.500
La 0.000 0.500 0.500
Sm 0.000 0.000 0.000
Th 0.500 0.500 0.000
Sb 0.500 0.247 0.242
Sb 0.500 0.753 0.758
Sb 0.000 0.252 0.757
Sb 0.000 0.748 0.243

Symmetry   No. 10
Crystal system   monoclinic
Formation energy without anion corrections   -1.18 eV/atom

# 11
## LiBi2Rh2 (PBE-GGA)

Data for crystalline LiBi2Rh2 at its relaxed geometry.

Cell: 5.160 5.703 8.252 Å, 66.98 82.30 60.98°
Element x y z (fractional)
Li 0.750 0.750 0.250
Li 0.250 0.250 0.750
Bi 0.437 0.357 0.354
Bi 0.937 0.857 0.854
Bi 0.063 0.143 0.146
Bi 0.563 0.643 0.646
Rh 0.475 0.741 0.009
Rh 0.975 0.241 0.509
Rh 0.525 0.259 0.991
Rh 0.025 0.759 0.491

Symmetry   No. 2
Crystal system   triclinic
ΔE_f   -0.219 eV per atom

# 12
## BaAl4Au4 (PBE-GGA)

Data for crystalline BaAl4Au4 at its relaxed geometry.

Cell: 6.512 6.512 8.885 Å, 90.00 90.00 90.00°
Element x y z (fractional)
Ba 0.000 0.000 0.000
Ba 0.500 0.500 0.500
Al 0.237 0.500 0.884
Al 0.763 0.500 0.884
Al 0.500 0.763 0.116
Al 0.500 0.237 0.116
Al 0.000 0.737 0.384
Al 0.000 0.263 0.384
Al 0.263 0.000 0.616
Al 0.737 0.000 0.616
Au 0.500 0.787 0.823
Au 0.500 0.213 0.823
Au 0.787 0.500 0.177
Au 0.213 0.500 0.177
Au 0.287 0.000 0.323
Au 0.713 0.000 0.323
Au 0.000 0.287 0.677
Au 0.000 0.713 0.677

Symmetry   No. 137
Crystal system   tetragonal
ΔE_f   -0.543 eV per atom

# 13
## TeRhCl2 (PBE-GGA)

Data for crystalline TeRhCl2 at its relaxed geometry.

Cell: 3.320 3.320 8.307 Å, 90.00 90.00 89.91°
Element x y z (fractional)
Te 0.500 0.500 0.695
Rh 0.000 0.000 0.528
Cl 0.000 0.000 0.939
Cl 0.500 0.500 0.338

Symmetry   No. 35
Crystal system   orthorhombic
Formation energy without anion corrections   -0.08 eV/atom